# CuSe5

An optimized crystal structure of CuSe5 (PBE, Alexandria). Values from VASP.

Quantum ESPRESSO input file:
```
&SYSTEM
  ibrav = 0, nat = 6, ntyp = 2
/
ATOMIC_SPECIES
Cu 63.55 Cu.upf
Se 78.96 Se.upf
ATOMIC_POSITIONS angstrom
Cu 0.000 0.000 0.000
Se 0.779 0.000 2.187
Se 3.005 0.000 5.586
Se 4.655 0.000 1.590
Se 5.271 0.000 4.962
Se 10.145 0.000 1.888
CELL_PARAMETERS angstrom
7.552 -1.814 0.000
7.552 1.814 0.000
-1.639 0.000 6.367
```

Energy relative to the lowest polymorph listed for this composition, meV per atom: 0.0
D(E_F), states/eV/cell: 2.9
Space group: Cm, No. 8
Crystal system: monoclinic
Volume, A^3/atom: 29.081